Record 1
{
  "formula": "CeMgRh",
  "functional": "PBE-GGA",
  "state": "relaxed",
  "total_magnetization_mub_per_cell": 0.88,
  "formation_energy_ev_per_atom": -0.316,
  "lattice_angstrom": [[-1.887, 2.314, -1.951], [-3.889, -1.980, 1.413], [1.801, 3.480, 2.386]],
  "species": ["Mg", "Ce", "Rh"],
  "frac_coords": [[0.500, 0.667, 0.333], [0.000, 0.000, 0.000], [0.499, 0.333, 0.667]]
}



Record 2
{
  "formula": "Ce5MgRh5",
  "functional": "PBE-GGA",
  "state": "relaxed",
  "total_magnetization_mub_per_cell": 2.25,
  "formation_energy_ev_per_atom": -0.540,
  "lattice_angstrom": [[5.472, 0.000, 0.000], [-2.736, 5.933, -0.318], [0.000, -2.593, 8.127]],
  "species": ["Rh", "Rh", "Rh", "Rh", "Rh", "Ce", "Ce", "Ce", "Ce", "Ce", "Mg"],
  "frac_coords": [[0.862, 0.724, 0.185], [0.138, 0.276, 0.815], [0.854, 0.707, 0.674], [0.500, 0.000, 0.000], [0.146, 0.293, 0.326], [0.670, 0.340, 0.327], [0.330, 0.660, 0.673], [0.674, 0.347, 0.845], [0.326, 0.653, 0.155], [0.000, 0.000, 0.500], [0.000, 0.000, 0.000]]
}



Record 3
{
  "formula": "CeMgRh",
  "functional": "PBE-GGA",
  "state": "relaxed",
  "total_magnetization_mub_per_cell": 0.80,
  "formation_energy_ev_per_atom": -0.518,
  "lattice_angstrom": [[5.137, 0.029, 0.633], [0.020, 4.918, -0.357], [0.662, -2.078, 5.545]],
  "species": ["Ce", "Ce", "Rh", "Rh", "Mg", "Mg"],
  "frac_coords": [[0.810, 0.872, 0.737], [0.194, 0.136, 0.266], [0.308, 0.814, 0.622], [0.696, 0.194, 0.381], [0.303, 0.419, 0.833], [0.702, 0.589, 0.171]]
}



Record 4
{
  "formula": "Ce4MgRh",
  "functional": "PBE-GGA",
  "state": "relaxed",
  "total_magnetization_mub_per_cell": 17.00,
  "formation_energy_ev_per_atom": -0.188,
  "lattice_angstrom": [[0.899, -8.964, 3.738], [-4.976, -7.430, -3.895], [4.701, -6.924, -5.010]],
  "species": ["Ce", "Ce", "Ce", "Ce", "Ce", "Ce", "Ce", "Ce", "Ce", "Ce", "Ce", "Ce", "Ce", "Ce", "Ce", "Ce", "Mg", "Mg", "Mg", "Mg", "Rh", "Rh", "Rh", "Rh"],
  "frac_coords": [[0.064, 0.436, 0.436], [0.436, 0.436, 0.064], [0.652, 0.044, 0.652], [0.044, 0.652, 0.652], [0.436, 0.064, 0.436], [0.436, 0.064, 0.064], [0.193, 0.193, 0.807], [0.064, 0.064, 0.436], [0.807, 0.193, 0.193], [0.064, 0.436, 0.064], [0.807, 0.193, 0.807], [0.652, 0.652, 0.652], [0.193, 0.807, 0.193], [0.807, 0.807, 0.193], [0.652, 0.652, 0.044], [0.193, 0.807, 0.807], [0.421, 0.421, 0.421], [0.738, 0.421, 0.421], [0.421, 0.421, 0.738], [0.421, 0.738, 0.421], [0.860, 0.421, 0.860], [0.421, 0.860, 0.860], [0.860, 0.860, 0.421], [0.860, 0.860, 0.860]]
}